[1]
12
Lattice="0.0000 4.9907 8.6261 3.6431 0.0000 8.6261 3.6431 4.9907 0.0000" Properties=species:S:1:pos:R:3 comment="Ca2MgHg3 | Alexandria via LeMat-Bulk | PBE | optimized geometry" n_ef_per_ev_fu=3.53 e_form_ev_per_atom=-0.41 m_tot_mub_per_cell=0.00 pbc="T T T"
Ca 5.5112 4.9907 8.6261
Ca 1.8215 2.4954 4.3130
Ca 5.4646 7.4861 12.9391
Ca 1.7749 4.9907 8.6261
Mg 3.6431 4.9907 5.7482
Mg 3.6431 4.9907 11.5039
Hg 3.6431 4.9907 2.9454
Hg 3.6431 2.5617 7.1553
Hg 3.6431 2.5617 10.0968
Hg 3.6431 7.4198 7.1553
Hg 3.6431 7.4198 10.0968
Hg 3.6431 4.9907 14.3068

[2]
6
Lattice="0.0000 4.8448 4.8448 4.8448 0.0000 4.8448 4.8448 4.8448 0.0000" Properties=species:S:1:pos:R:3 comment="CaTbPr4 | Alexandria via LeMat-Bulk | PBE | optimized geometry" n_ef_per_ev_fu=10.20 e_form_ev_per_atom=0.22 m_tot_mub_per_cell=0.00 pbc="T T T"
Ca 0.0000 0.0000 0.0000
Tb 7.2672 7.2672 7.2672
Pr 3.6493 3.6493 3.6493
Pr 6.0403 6.0403 3.6493
Pr 6.0403 3.6493 6.0403
Pr 3.6493 6.0403 6.0403

[3]
12
Lattice="7.0365 0.0000 0.0000 0.0000 9.5778 0.0000 -0.0187 0.0000 7.2966" Properties=species:S:1:pos:R:3 comment="RbSr2CeBr8 | Alexandria via LeMat-Bulk | PBE | optimized geometry" n_ef_per_ev_fu=7.83 raw_formation_energy_ev_per_fu=-23.241 m_tot_mub_per_cell=1.00 pbc="T T T"
Rb 0.0000 0.0000 0.0000
Sr 3.5089 2.3723 3.6483
Sr 3.5089 7.2055 3.6483
Ce 0.0000 4.7889 0.0000
Br 1.6778 2.7329 1.1816
Br 1.6778 6.8449 1.1816
Br 1.8220 4.7889 4.9095
Br 1.8906 0.0000 4.5922
Br 5.1272 0.0000 2.7044
Br 5.1958 4.7889 2.3871
Br 5.3401 2.7329 6.1150
Br 5.3401 6.8449 6.1150

[4]
11
Lattice="3.9668 -4.4465 0.0000 3.9668 4.4465 0.0000 0.0000 0.0000 6.6193" Properties=species:S:1:pos:R:3 comment="Na7Cl2O2 | Alexandria via LeMat-Bulk | PBE | optimized geometry" n_ef_per_ev_fu=1.78 raw_formation_energy_ev_per_fu=-13.133 m_tot_mub_per_cell=0.00 pbc="T T T"
Na 0.0000 0.0000 0.0000
Na 1.9834 2.2232 1.4078
Na 1.9834 2.2232 5.2115
Na 1.9834 -2.2232 1.4078
Na 1.9834 -2.2232 5.2115
Na 3.9668 0.0000 1.3421
Na 3.9668 0.0000 5.2772
Cl 2.0000 0.0000 3.3097
Cl 5.9335 0.0000 3.3097
O 3.9668 1.9733 0.0000
O 3.9668 -1.9733 0.0000

[5]
5
Lattice="4.6768 0.0000 0.0000 0.0000 4.6768 0.0000 0.0000 0.0000 5.1433" Properties=species:S:1:pos:R:3 comment="CdGa2IrPt | Alexandria via LeMat-Bulk | PBE | optimized geometry" n_ef_per_ev_fu=3.96 e_form_ev_per_atom=0.56 m_tot_mub_per_cell=0.23 pbc="T T T"
Cd 0.0000 0.0000 0.0000
Ga 0.0000 2.3384 2.5717
Ga 2.3384 0.0000 2.5717
Ir 2.3384 2.3384 0.0000
Pt 0.0000 0.0000 2.5717

[6]
5
Lattice="5.1244 0.0000 0.0000 0.0000 5.1244 0.0000 0.0000 0.0000 5.1251" Properties=species:S:1:pos:R:3 comment="SnSbP2Cl | Alexandria via LeMat-Bulk | PBE | optimized geometry" n_ef_per_ev_fu=2.74 raw_formation_energy_ev_per_fu=2.586 m_tot_mub_per_cell=0.00 pbc="T T T"
Sn 0.0000 0.0000 0.0000
Sb 2.5622 2.5622 2.5625
P 0.0000 2.5622 2.5625
P 2.5622 0.0000 2.5625
Cl 2.5622 2.5622 0.0000

[7]
7
Lattice="-2.2154 2.2154 8.2059 2.2154 -2.2154 8.2059 2.2154 2.2154 -8.2059" Properties=species:S:1:pos:R:3 comment="Nd2DyTe2N2 | Alexandria via LeMat-Bulk | PBE | optimized geometry" n_ef_per_ev_fu=2.64 raw_formation_energy_ev_per_fu=-8.460 m_tot_mub_per_cell=0.00 pbc="T T T"
Nd 0.0000 0.0000 1.6963
Nd 0.0000 0.0000 14.7155
Dy 0.0000 0.0000 8.2059
Te 0.0000 0.0000 5.1496
Te 0.0000 0.0000 11.2622
N 2.2154 0.0000 0.0000
N 0.0000 2.2154 0.0000

[8]
4
Lattice="3.6795 0.0000 0.0000 0.0000 3.6795 0.0000 0.0000 0.0000 9.1454" Properties=species:S:1:pos:R:3 comment="CaNd2Cu | Alexandria via LeMat-Bulk | PBE | optimized geometry" n_ef_per_ev_fu=5.15 e_form_ev_per_atom=-0.01 m_tot_mub_per_cell=0.00 pbc="T T T"
Ca 0.0000 0.0000 0.0000
Nd 1.8397 1.8397 2.9149
Nd 1.8397 1.8397 6.2305
Cu 0.0000 0.0000 4.5727

[9]
5
Lattice="3.7368 0.0000 0.0000 0.0000 3.7368 0.0000 0.0000 0.0000 4.5264" Properties=species:S:1:pos:R:3 comment="AlBTeH2 | Alexandria via LeMat-Bulk | PBE | optimized geometry" n_ef_per_ev_fu=1.91 energy_ev_per_atom=-3.243 m_tot_mub_per_cell=0.00 pbc="T T T"
Al 0.0000 0.0000 0.0000
B 0.0000 0.0000 2.2632
Te 1.8684 1.8684 0.0000
H 0.0000 1.8684 2.2632
H 1.8684 0.0000 2.2632

[10]
4
Lattice="0.0000 3.0160 3.0160 3.0160 0.0000 3.0160 3.0160 3.0160 0.0000" Properties=species:S:1:pos:R:3 comment="MnCr2Te | Alexandria via LeMat-Bulk | PBE | optimized geometry" n_ef_per_ev_fu=3.61 raw_formation_energy_ev_per_fu=1.431 m_tot_mub_per_cell=1.00 pbc="T T T"
Mn 0.0000 0.0000 0.0000
Cr 1.5080 1.5080 1.5080
Cr 3.0160 3.0160 3.0160
Te 4.5240 4.5240 4.5240

[11]
4
Lattice="3.7359 0.0000 0.0000 0.0000 3.7663 0.0000 0.0000 0.0000 7.4831" Properties=species:S:1:pos:R:3 comment="NiAgBr2 | Alexandria via LeMat-Bulk | PBE | optimized geometry" n_ef_per_ev_fu=7.26 raw_formation_energy_ev_per_fu=0.623 m_tot_mub_per_cell=0.96 pbc="T T T"
Ni 0.0000 0.0000 0.0000
Ag 0.0000 1.8831 3.7415
Br 1.8679 0.0000 3.7415
Br 1.8679 1.8831 0.0000

[12]
4
Lattice="4.3259 0.0000 0.0000 0.0000 4.4793 0.0000 0.0000 0.0000 4.6696" Properties=species:S:1:pos:R:3 comment="ErMgTlGa | Alexandria via LeMat-Bulk | PBE | optimized geometry" n_ef_per_ev_fu=1.90 e_form_ev_per_atom=-0.32 m_tot_mub_per_cell=0.00 pbc="T T T"
Er 0.0000 0.0000 0.0000
Mg 0.0000 2.2397 2.3348
Tl 2.1630 0.0000 2.3348
Ga 2.1630 2.2397 0.0000